Density functional theory data (GGA-PBE) for a geometry-optimized BaSrTiO4 structure.

The structure in POSCAR format:
```
BaSrTiO4
1.0
-3.1516 2.3865 -0.5439
-0.4884 -1.4821 -3.6726
-2.1231 -5.1114 4.5129
Ba Sr Ti O
1 1 1 4
Direct
0.6481 0.6481 0.2962 Ba
0.3600 0.3600 0.7200 Sr
0.9983 0.9983 0.9967 Ti
0.9959 0.4959 0.9918 O
0.4959 0.9959 0.9918 O
0.8482 0.8482 0.6963 O
0.1536 0.1536 0.3073 O
```

Summary:
The density of states at the Fermi level comes out at 0.0 states/eV per cell. Its uncorrected formation energy is -287.4 kJ per mole of atoms.